VASP calculation (PBE) on a geometry-optimized TlReTc structure.

Cell: 2.969 3.781 9.208 Å, 90.00 90.00 90.00°
Positions (direct):
Tl 0.000 0.000 0.000
Tl 0.500 0.500 0.500
Re 0.000 0.000 0.686
Re 0.500 0.500 0.186
Tc 0.000 0.000 0.315
Tc 0.500 0.500 0.815

Values from the calculation:
Space-group type   Imm2, No. 44
DFT formation energy   0.696 eV/atom
Final energy   -7.697 eV/atom
Size of the total moment   0.00 Bohr magnetons per cell

=====

VASP calculation (PBE) on a geometry-optimized Er3Zn2Pb structure.

Cell: 5.107 15.332 3.683 Å, 90.00 90.00 90.00°
Positions (direct):
Er 0.000 0.000 0.000
Er 0.000 0.325 0.000
Er 0.000 0.675 0.000
Er 0.500 0.175 0.000
Er 0.500 0.500 0.000
Er 0.500 0.825 0.000
Zn 0.000 0.171 0.500
Zn 0.000 0.829 0.500
Zn 0.500 0.329 0.500
Zn 0.500 0.671 0.500
Pb 0.000 0.500 0.500
Pb 0.500 0.000 0.500

Values from the calculation:
Space-group type   Cmmm, No. 65
DFT formation energy   -0.352 eV/atom
Final energy   -3.676 eV/atom
Size of the total moment   0.00 Bohr magnetons per cell

=====

VASP calculation (PBE) on a geometry-optimized ZrSb2Te structure.

Cell: 3.406 3.406 31.182 Å, 90.00 90.00 120.00°
Positions (direct):
Zr 0.000 0.000 0.000
Zr 0.333 0.667 0.667
Zr 0.667 0.333 0.333
Sb 0.000 0.000 0.260
Sb 0.000 0.000 0.740
Sb 0.333 0.667 0.407
Sb 0.333 0.667 0.926
Sb 0.667 0.333 0.074
Sb 0.667 0.333 0.593
Te 0.000 0.000 0.500
Te 0.333 0.667 0.167
Te 0.667 0.333 0.833

Values from the calculation:
Space-group type   R-3m, No. 166
Formation energy (no corrections)   -70 meV/atom
Final energy   -5.054 eV/atom
Size of the total moment   0.00 Bohr magnetons per cell

=====

VASP calculation (PBE) on a geometry-optimized CeSi4Os4 structure.

Cell: 7.975 7.975 4.771 Å, 90.00 90.00 90.00°
Positions (direct):
Ce 0.250 0.250 0.250
Ce 0.750 0.750 0.750
Si 0.058 0.900 0.163
Si 0.100 0.558 0.663
Si 0.400 0.942 0.663
Si 0.442 0.600 0.163
Si 0.558 0.400 0.837
Si 0.600 0.058 0.337
Si 0.900 0.442 0.337
Si 0.942 0.100 0.837
Os 0.111 0.880 0.659
Os 0.120 0.611 0.159
Os 0.380 0.889 0.159
Os 0.389 0.620 0.659
Os 0.611 0.380 0.341
Os 0.620 0.111 0.841
Os 0.880 0.389 0.841
Os 0.889 0.120 0.341

Values from the calculation:
Space-group type   P4_2/n, No. 86
Formation energy (no corrections)   -335 meV/atom
Final energy   -8.396 eV/atom
Size of the total moment   1.02 Bohr magnetons per cell

=====

VASP calculation (PBE) on a geometry-optimized MnHSeN2 structure.

Cell: 3.934 3.934 3.241 Å, 90.00 90.00 90.00°
Positions (direct):
Mn 0.000 0.000 0.000
H 0.500 0.500 0.500
Se 0.500 0.500 0.000
N 0.000 0.500 0.500
N 0.500 0.000 0.500

Values from the calculation:
Space-group type   P4/mmm, No. 123
Final energy   -4.867 eV/atom
Size of the total moment   3.59 Bohr magnetons per cell

=====

VASP calculation (PBE) on a geometry-optimized LaTbNdPu structure.

Cell: 8.092 8.092 8.092 Å, 90.00 90.00 90.00°
Positions (direct):
La 0.000 0.000 0.000
La 0.000 0.500 0.500
La 0.500 0.000 0.500
La 0.500 0.500 0.000
Tb 0.250 0.250 0.250
Tb 0.250 0.750 0.750
Tb 0.750 0.250 0.750
Tb 0.750 0.750 0.250
Nd 0.000 0.000 0.500
Nd 0.000 0.500 0.000
Nd 0.500 0.000 0.000
Nd 0.500 0.500 0.500
Pu 0.250 0.250 0.750
Pu 0.250 0.750 0.250
Pu 0.750 0.250 0.250
Pu 0.750 0.750 0.750

Values from the calculation:
Space-group type   F-43m, No. 216
DFT formation energy   0.212 eV/atom
Final energy   -6.953 eV/atom
Size of the total moment   30.78 Bohr magnetons per cell

=====

Copy entry 3 word for word.
VASP calculation (PBE) on a geometry-optimized ZrSb2Te structure.

Cell: 3.406 3.406 31.182 Å, 90.00 90.00 120.00°
Positions (direct):
Zr 0.000 0.000 0.000
Zr 0.333 0.667 0.667
Zr 0.667 0.333 0.333
Sb 0.000 0.000 0.260
Sb 0.000 0.000 0.740
Sb 0.333 0.667 0.407
Sb 0.333 0.667 0.926
Sb 0.667 0.333 0.074
Sb 0.667 0.333 0.593
Te 0.000 0.000 0.500
Te 0.333 0.667 0.167
Te 0.667 0.333 0.833

Values from the calculation:
Space-group type   R-3m, No. 166
Formation energy (no corrections)   -70 meV/atom
Final energy   -5.054 eV/atom
Size of the total moment   0.00 Bohr magnetons per cell